# InFe2GeI meta-GGA SCAN single point on PBEsol structure
data_InFe2GeI
_cell_length_a 4.644
_cell_length_b 4.644
_cell_length_c 5.560
_cell_angle_alpha 90.00
_cell_angle_beta 90.00
_cell_angle_gamma 90.00
_symmetry_space_group_name_H-M 'P 1'
_symmetry_Int_Tables_number 1
_symmetry_space_group_name_Hall 'P 1'
loop_
_atom_site_label
_atom_site_fract_x
_atom_site_fract_y
_atom_site_fract_z
_atom_site_occupancy
In1 0.000 0.000 0.000 1
Fe1 0.000 0.500 0.500 1
Fe2 0.500 0.000 0.500 1
Ge1 0.500 0.500 0.000 1
I1 0.500 0.500 0.500 1
# Formation energy without anion corrections, eV per formula unit: 6.80
# Symmetry: P4/mmm
# M_tot, μB per formula unit: 4.913
# VASP energy, eV per atom: -23.735


# ZrZn4Ir meta-GGA SCAN single point on PBEsol structure
data_ZrZn4Ir
_cell_length_a 4.942
_cell_length_b 4.942
_cell_length_c 4.942
_cell_angle_alpha 60.00
_cell_angle_beta 60.00
_cell_angle_gamma 60.00
_symmetry_space_group_name_H-M 'P 1'
_symmetry_Int_Tables_number 1
_symmetry_space_group_name_Hall 'P 1'
loop_
_atom_site_label
_atom_site_fract_x
_atom_site_fract_y
_atom_site_fract_z
_atom_site_occupancy
Zr1 0.000 0.000 0.000 1
Zn1 0.375 0.375 0.375 1
Zn2 0.375 0.375 0.874 1
Zn3 0.375 0.874 0.375 1
Zn4 0.874 0.375 0.375 1
Ir1 0.750 0.750 0.750 1
# Formation energy from the elements, eV per formula unit: -2.204
# Symmetry: F-43m
# M_tot, μB per formula unit: 0.021
# VASP energy, eV per atom: -26.344


# Zr3OsPd meta-GGA SCAN single point on PBEsol structure
data_Zr3OsPd
_cell_length_a 4.942
_cell_length_b 4.942
_cell_length_c 4.942
_cell_angle_alpha 90.00
_cell_angle_beta 90.00
_cell_angle_gamma 90.00
_symmetry_space_group_name_H-M 'P 1'
_symmetry_Int_Tables_number 1
_symmetry_space_group_name_Hall 'P 1'
loop_
_atom_site_label
_atom_site_fract_x
_atom_site_fract_y
_atom_site_fract_z
_atom_site_occupancy
Zr1 0.000 0.000 0.500 1
Zr2 0.000 0.500 0.000 1
Zr3 0.500 0.000 0.000 1
Os1 0.000 0.000 0.000 1
Pd1 0.500 0.500 0.500 1
# Formation energy from the elements, eV per formula unit: 1.456
# Symmetry: Pm-3m
# M_tot, μB per formula unit: 0.000
# VASP energy, eV per atom: -39.059


# TaCd3Re meta-GGA SCAN single point on PBEsol structure
data_TaCd3Re
_cell_length_a 5.020
_cell_length_b 5.020
_cell_length_c 5.020
_cell_angle_alpha 90.00
_cell_angle_beta 90.00
_cell_angle_gamma 90.00
_symmetry_space_group_name_H-M 'P 1'
_symmetry_Int_Tables_number 1
_symmetry_space_group_name_Hall 'P 1'
loop_
_atom_site_label
_atom_site_fract_x
_atom_site_fract_y
_atom_site_fract_z
_atom_site_occupancy
Ta1 0.000 0.000 0.000 1
Cd1 0.000 0.500 0.500 1
Cd2 0.500 0.000 0.500 1
Cd3 0.500 0.500 0.000 1
Re1 0.500 0.500 0.500 1
# Formation energy from the elements, eV per formula unit: 9.756
# Symmetry: Pm-3m
# M_tot, μB per formula unit: 2.000
# VASP energy, eV per atom: -43.834


# Gd3Er meta-GGA SCAN single point on PBEsol structure
data_Gd3Er
_cell_length_a 4.917
_cell_length_b 4.917
_cell_length_c 4.917
_cell_angle_alpha 90.00
_cell_angle_beta 90.00
_cell_angle_gamma 90.00
_symmetry_space_group_name_H-M 'P 1'
_symmetry_Int_Tables_number 1
_symmetry_space_group_name_Hall 'P 1'
loop_
_atom_site_label
_atom_site_fract_x
_atom_site_fract_y
_atom_site_fract_z
_atom_site_occupancy
Gd1 0.000 0.000 0.500 1
Gd2 0.000 0.500 0.000 1
Gd3 0.500 0.000 0.000 1
Er1 0.500 0.500 0.500 1
# Formation energy from the elements, eV per formula unit: 0.355
# Symmetry: Pm-3m
# M_tot, μB per formula unit: 24.666
# VASP energy, eV per atom: -56.608


# Cu3TeO6 meta-GGA SCAN single point on PBEsol structure
data_Cu3TeO6
_cell_length_a 8.266
_cell_length_b 8.266
_cell_length_c 8.266
_cell_angle_alpha 109.47
_cell_angle_beta 109.47
_cell_angle_gamma 109.47
_symmetry_space_group_name_H-M 'P 1'
_symmetry_Int_Tables_number 1
_symmetry_space_group_name_Hall 'P 1'
loop_
_atom_site_label
_atom_site_fract_x
_atom_site_fract_y
_atom_site_fract_z
_atom_site_occupancy
Cu1 0.030 0.780 0.250 1
Cu2 0.220 0.750 0.970 1
Cu3 0.250 0.030 0.780 1
Cu4 0.250 0.530 0.280 1
Cu5 0.280 0.250 0.530 1
Cu6 0.470 0.720 0.750 1
Cu7 0.530 0.280 0.250 1
Cu8 0.720 0.750 0.470 1
Cu9 0.750 0.470 0.720 1
Cu10 0.750 0.970 0.220 1
Cu11 0.780 0.250 0.030 1
Cu12 0.970 0.220 0.750 1
Te1 0.000 0.000 0.000 1
Te2 0.000 0.500 0.500 1
Te3 0.500 0.000 0.500 1
Te4 0.500 0.500 0.000 1
O1 0.033 0.572 0.303 1
O2 0.040 0.269 0.072 1
O3 0.072 0.040 0.269 1
O4 0.197 0.769 0.729 1
O5 0.229 0.460 0.533 1
O6 0.231 0.271 0.803 1
O7 0.269 0.072 0.040 1
O8 0.271 0.803 0.231 1
O9 0.303 0.033 0.572 1
O10 0.428 0.697 0.967 1
O11 0.460 0.533 0.229 1
O12 0.467 0.771 0.540 1
O13 0.533 0.229 0.460 1
O14 0.540 0.467 0.771 1
O15 0.572 0.303 0.033 1
O16 0.697 0.967 0.428 1
O17 0.729 0.197 0.769 1
O18 0.731 0.928 0.960 1
O19 0.769 0.729 0.197 1
O20 0.771 0.540 0.467 1
O21 0.803 0.231 0.271 1
O22 0.928 0.960 0.731 1
O23 0.960 0.731 0.928 1
O24 0.967 0.428 0.697 1
# Formation energy without anion corrections, eV per formula unit: -9.12
# Symmetry: Ia-3
# M_tot, μB per formula unit: 3.026
# VASP energy, eV per atom: -12.936


# YScSe3 meta-GGA SCAN single point on PBEsol structure
data_YScSe3
_cell_length_a 6.865
_cell_length_b 6.865
_cell_length_c 6.621
_cell_angle_alpha 99.55
_cell_angle_beta 99.55
_cell_angle_gamma 121.07
_symmetry_space_group_name_H-M 'P 1'
_symmetry_Int_Tables_number 1
_symmetry_space_group_name_Hall 'P 1'
loop_
_atom_site_label
_atom_site_fract_x
_atom_site_fract_y
_atom_site_fract_z
_atom_site_occupancy
Y1 0.168 0.832 0.000 1
Y2 0.832 0.168 0.000 1
Sc1 0.000 0.000 0.500 1
Sc2 0.500 0.500 0.000 1
Se1 0.100 0.413 0.744 1
Se2 0.253 0.253 0.259 1
Se3 0.413 0.100 0.744 1
Se4 0.587 0.900 0.256 1
Se5 0.747 0.747 0.741 1
Se6 0.900 0.587 0.256 1
# Formation energy without anion corrections, eV per formula unit: -10.14
# Symmetry: C2/m
# M_tot, μB per formula unit: 0.000
# VASP energy, eV per atom: -22.491


# ZrNb2Ir meta-GGA SCAN single point on PBEsol structure
data_ZrNb2Ir
_cell_length_a 4.580
_cell_length_b 4.580
_cell_length_c 4.580
_cell_angle_alpha 60.00
_cell_angle_beta 60.00
_cell_angle_gamma 60.00
_symmetry_space_group_name_H-M 'P 1'
_symmetry_Int_Tables_number 1
_symmetry_space_group_name_Hall 'P 1'
loop_
_atom_site_label
_atom_site_fract_x
_atom_site_fract_y
_atom_site_fract_z
_atom_site_occupancy
Zr1 0.000 0.000 0.000 1
Nb1 0.250 0.250 0.250 1
Nb2 0.750 0.750 0.750 1
Ir1 0.500 0.500 0.500 1
# Formation energy from the elements, eV per formula unit: -1.431
# Symmetry: Fm-3m
# M_tot, μB per formula unit: 0.000
# VASP energy, eV per atom: -42.372


# CdMoRh meta-GGA SCAN single point on PBEsol structure
data_CdMoRh
_cell_length_a 2.810
_cell_length_b 2.810
_cell_length_c 6.964
_cell_angle_alpha 90.00
_cell_angle_beta 90.00
_cell_angle_gamma 120.00
_symmetry_space_group_name_H-M 'P 1'
_symmetry_Int_Tables_number 1
_symmetry_space_group_name_Hall 'P 1'
loop_
_atom_site_label
_atom_site_fract_x
_atom_site_fract_y
_atom_site_fract_z
_atom_site_occupancy
Cd1 0.000 0.000 0.000 1
Mo1 0.333 0.667 0.638 1
Rh1 0.667 0.333 0.347 1
# Formation energy from the elements, eV per formula unit: 0.292
# Symmetry: P3m1
# M_tot, μB per formula unit: 0.000
# Energy above the lowest structure with this stoichiometry, meV per atom: 0.0
# VASP energy, eV per atom: -32.926


# Tl3Au2 meta-GGA SCAN single point on PBEsol structure
data_Tl3Au2
_cell_length_a 9.333
_cell_length_b 9.333
_cell_length_c 9.333
_cell_angle_alpha 24.91
_cell_angle_beta 24.91
_cell_angle_gamma 24.91
_symmetry_space_group_name_H-M 'P 1'
_symmetry_Int_Tables_number 1
_symmetry_space_group_name_Hall 'P 1'
loop_
_atom_site_label
_atom_site_fract_x
_atom_site_fract_y
_atom_site_fract_z
_atom_site_occupancy
Tl1 0.000 0.000 0.000 1
Tl2 0.210 0.210 0.210 1
Tl3 0.790 0.790 0.790 1
Au1 0.395 0.395 0.395 1
Au2 0.605 0.605 0.605 1
# Formation energy from the elements, eV per formula unit: -0.190
# Symmetry: R-3m
# M_tot, μB per formula unit: 0.000
# Energy above the lowest structure with this stoichiometry, meV per atom: 0.0
# VASP energy, eV per atom: -71.116


- Which of these has the highest VASP energy?
  Cu3TeO6